Record 1
The following is a DFT calculation (PBE+U) of an optimized crystal structure of CrF4.

a = 5.021 Å, b = 5.021 Å, c = 6.243 Å
α = 100.76°, β = 100.76°, γ = 101.39°
Element x y z (fractional)
Cr1 0.000 0.000 0.000
Cr2 0.626 0.626 0.224
F1 0.140 0.804 0.809
F2 0.314 0.314 0.067
F3 0.404 0.869 0.211
F4 0.590 0.590 0.491
F5 0.682 0.682 0.933
F6 0.804 0.140 0.809
F7 0.869 0.404 0.211
F8 0.953 0.953 0.290

Computed properties:
* total DFT energy (no corrections): -5.201 eV/atom


Record 2
The following is a DFT calculation (PBE+U) of an optimized crystal structure of CrF5.

a = 5.772 Å, b = 5.772 Å, c = 11.397 Å
α = 90.00°, β = 90.00°, γ = 150.13°
Element x y z (fractional)
Cr1 0.000 0.000 0.000
Cr2 0.000 0.000 0.500
F1 0.147 0.853 0.555
F2 0.147 0.853 0.945
F3 0.220 0.780 0.250
F4 0.461 0.539 0.602
F5 0.461 0.539 0.898
F6 0.539 0.461 0.102
F7 0.539 0.461 0.398
F8 0.780 0.220 0.750
F9 0.853 0.147 0.055
F10 0.853 0.147 0.445

Computed properties:
* total DFT energy (no corrections): -4.472 eV/atom


Record 3
The following is a DFT calculation (PBE+U) of an optimized crystal structure of CrF.

a = 6.087 Å, b = 6.000 Å, c = 5.130 Å
α = 65.77°, β = 64.01°, γ = 50.22°
Element x y z (fractional)
Cr1 0.098 0.652 0.098
Cr2 0.348 0.902 0.348
Cr3 0.652 0.098 0.652
Cr4 0.902 0.348 0.902
F1 0.228 0.228 0.522
F2 0.478 0.478 0.772
F3 0.522 0.522 0.228
F4 0.772 0.772 0.478

Computed properties:
* total DFT energy (no corrections): -6.071 eV/atom
* ΔE to the lowest computed polymorph: 0.068 eV/atom


Record 4
The following is a DFT calculation (PBE+U) of an optimized crystal structure of CrF5.

a = 8.221 Å, b = 7.768 Å, c = 5.617 Å
α = 90.00°, β = 90.00°, γ = 90.00°
Element x y z (fractional)
Cr1 0.243 0.089 0.250
Cr2 0.243 0.411 0.750
Cr3 0.757 0.589 0.250
Cr4 0.757 0.911 0.750
F1 0.041 0.026 0.250
F2 0.041 0.474 0.750
F3 0.165 0.250 0.000
F4 0.165 0.250 0.500
F5 0.307 0.551 0.526
F6 0.307 0.551 0.974
F7 0.307 0.949 0.026
F8 0.307 0.949 0.474
F9 0.416 0.217 0.250
F10 0.416 0.283 0.750
F11 0.584 0.717 0.250
F12 0.584 0.783 0.750
F13 0.693 0.051 0.526
F14 0.693 0.051 0.974
F15 0.693 0.449 0.026
F16 0.693 0.449 0.474
F17 0.835 0.750 0.000
F18 0.835 0.750 0.500
F19 0.959 0.526 0.250
F20 0.959 0.974 0.750

Computed properties:
* total DFT energy (no corrections): -4.788 eV/atom


Record 5
The following is a DFT calculation (PBE+U) of an optimized crystal structure of CrF.

a = 9.230 Å, b = 9.230 Å, c = 3.093 Å
α = 90.00°, β = 90.00°, γ = 120.00°
Element x y z (fractional)
Cr1 0.188 0.736 0.250
Cr2 0.264 0.453 0.250
Cr3 0.453 0.188 0.750
Cr4 0.547 0.812 0.250
Cr5 0.736 0.547 0.750
Cr6 0.812 0.264 0.750
F1 0.021 0.694 0.750
F2 0.306 0.327 0.750
F3 0.327 0.021 0.250
F4 0.673 0.979 0.750
F5 0.694 0.673 0.250
F6 0.979 0.306 0.250

Computed properties:
* total DFT energy (no corrections): -5.987 eV/atom
* ΔE to the lowest computed polymorph: 0.152 eV/atom


Record 6
The following is a DFT calculation (PBE+U) of an optimized crystal structure of CrF4.

a = 6.497 Å, b = 6.497 Å, c = 6.497 Å
α = 131.02°, β = 131.02°, γ = 71.78°
Element x y z (fractional)
Cr1 0.000 0.500 0.500
Cr2 0.500 0.000 0.500
F1 0.054 0.554 0.841
F2 0.213 0.054 0.500
F3 0.287 0.787 0.841
F4 0.446 0.287 0.500
F5 0.554 0.713 0.500
F6 0.713 0.213 0.159
F7 0.787 0.946 0.500
F8 0.946 0.446 0.159

Computed properties:
* total DFT energy (no corrections): -4.933 eV/atom


Record 7
The following is a DFT calculation (PBE+U) of an optimized crystal structure of CrF.

a = 6.403 Å, b = 6.403 Å, c = 6.403 Å
α = 90.00°, β = 90.00°, γ = 90.00°
Element x y z (fractional)
Cr1 0.000 0.250 0.500
Cr2 0.000 0.750 0.500
Cr3 0.250 0.500 0.000
Cr4 0.500 0.000 0.250
Cr5 0.500 0.000 0.750
Cr6 0.750 0.500 0.000
F1 0.000 0.500 0.250
F2 0.000 0.500 0.750
F3 0.250 0.000 0.500
F4 0.500 0.250 0.000
F5 0.500 0.750 0.000
F6 0.750 0.000 0.500

Computed properties:
* total DFT energy (no corrections): -5.843 eV/atom
* ΔE to the lowest computed polymorph: 0.296 eV/atom


Record 8
The following is a DFT calculation (PBE+U) of an optimized crystal structure of CrF.

a = 6.608 Å, b = 6.608 Å, c = 6.608 Å
α = 93.93°, β = 93.93°, γ = 149.64°
Element x y z (fractional)
Cr1 0.094 0.678 0.771
Cr2 0.322 0.094 0.416
Cr3 0.678 0.906 0.584
Cr4 0.906 0.322 0.229
F1 0.125 0.222 0.347
F2 0.222 0.875 0.097
F3 0.778 0.125 0.903
F4 0.875 0.778 0.653

Computed properties:
* total DFT energy (no corrections): -5.973 eV/atom
* ΔE to the lowest computed polymorph: 0.166 eV/atom


Record 9
The following is a DFT calculation (PBE+U) of an optimized crystal structure of CrF.

a = 7.026 Å, b = 7.026 Å, c = 6.116 Å
α = 90.00°, β = 90.00°, γ = 90.00°
Element x y z (fractional)
Cr1 0.120 0.284 0.000
Cr2 0.120 0.716 0.500
Cr3 0.284 0.120 0.500
Cr4 0.284 0.880 0.000
Cr5 0.716 0.120 0.000
Cr6 0.716 0.880 0.500
Cr7 0.880 0.284 0.500
Cr8 0.880 0.716 0.000
F1 0.161 0.386 0.500
F2 0.161 0.614 0.000
F3 0.386 0.161 0.000
F4 0.386 0.839 0.500
F5 0.614 0.161 0.500
F6 0.614 0.839 0.000
F7 0.839 0.386 0.000
F8 0.839 0.614 0.500

Computed properties:
* total DFT energy (no corrections): -6.022 eV/atom
* ΔE to the lowest computed polymorph: 0.117 eV/atom


Record 10
The following is a DFT calculation (PBE+U) of an optimized crystal structure of CrF4.

a = 4.752 Å, b = 4.752 Å, c = 7.585 Å
α = 90.00°, β = 90.00°, γ = 90.00°
Element x y z (fractional)
Cr1 0.000 0.000 0.000
Cr2 0.500 0.500 0.500
F1 0.212 0.219 0.129
F2 0.219 0.788 0.871
F3 0.281 0.288 0.629
F4 0.288 0.719 0.371
F5 0.712 0.281 0.371
F6 0.719 0.712 0.629
F7 0.781 0.212 0.871
F8 0.788 0.781 0.129

Computed properties:
* total DFT energy (no corrections): -5.198 eV/atom


Record 11
The following is a DFT calculation (PBE+U) of an optimized crystal structure of CrF.

a = 6.507 Å, b = 6.507 Å, c = 3.502 Å
α = 90.00°, β = 90.00°, γ = 90.00°
Element x y z (fractional)
Cr1 0.191 0.191 0.000
Cr2 0.309 0.691 0.500
Cr3 0.691 0.309 0.500
Cr4 0.809 0.809 0.000
F1 0.166 0.834 0.000
F2 0.334 0.334 0.500
F3 0.666 0.666 0.500
F4 0.834 0.166 0.000

Computed properties:
* total DFT energy (no corrections): -5.903 eV/atom
* ΔE to the lowest computed polymorph: 0.236 eV/atom


Record 12
The following is a DFT calculation (PBE+U) of an optimized crystal structure of CrF.

a = 3.132 Å, b = 3.209 Å, c = 3.924 Å
α = 86.37°, β = 83.95°, γ = 61.77°
Element x y z (fractional)
Cr1 0.000 0.000 0.000
F1 0.000 0.000 0.500

Computed properties:
* total DFT energy (no corrections): -6.045 eV/atom
* ΔE to the lowest computed polymorph: 0.094 eV/atom